# 1
The following is a PBE calculation of crystalline ZnAs at its relaxed geometry, from OQMD via LeMat-Bulk.

Lattice parameters (Å, degrees): 5.029 12.930 4.709 90.00 90.00 90.00
Fractional coordinates of all 16 atoms:
Zn 0.250 0.142 0.200
Zn 0.250 0.250 0.643
Zn 0.250 0.358 0.200
Zn 0.250 0.750 0.706
Zn 0.750 0.250 0.294
Zn 0.750 0.642 0.800
Zn 0.750 0.750 0.357
Zn 0.750 0.858 0.800
As 0.250 0.058 0.727
As 0.250 0.442 0.727
As 0.250 0.636 0.180
As 0.250 0.864 0.180
As 0.750 0.136 0.820
As 0.750 0.364 0.820
As 0.750 0.558 0.273
As 0.750 0.942 0.273

Calculated values
As for the crystal system: orthorhombic.

***

# 2
The following is a PBE calculation of crystalline ZnAs at its relaxed geometry, from OQMD via LeMat-Bulk.

Lattice parameters (Å, degrees): 6.309 4.859 4.904 90.00 90.00 90.00
Fractional coordinates of all 8 atoms:
Zn 0.127 0.082 0.250
Zn 0.127 0.418 0.750
Zn 0.873 0.582 0.250
Zn 0.873 0.918 0.750
As 0.292 0.584 0.250
As 0.292 0.916 0.750
As 0.708 0.084 0.250
As 0.708 0.416 0.750

Calculated values
As for the crystal system: orthorhombic.

***

# 3
The following is a PBE calculation of crystalline ZnAs at its relaxed geometry, from OQMD via LeMat-Bulk.

Lattice parameters (Å, degrees): 5.016 10.919 5.347 90.00 90.00 90.00
Fractional coordinates of all 16 atoms:
Zn 0.250 0.005 0.232
Zn 0.250 0.495 0.232
Zn 0.250 0.637 0.724
Zn 0.250 0.863 0.724
Zn 0.750 0.137 0.276
Zn 0.750 0.363 0.276
Zn 0.750 0.505 0.768
Zn 0.750 0.995 0.768
As 0.250 0.095 0.731
As 0.250 0.250 0.154
As 0.250 0.405 0.731
As 0.250 0.750 0.260
As 0.750 0.250 0.740
As 0.750 0.595 0.269
As 0.750 0.750 0.846
As 0.750 0.905 0.269

Calculated values
As for the crystal system: orthorhombic.

***

| no. | total energy (eV/atom) |
| --- | --- |
| 1 | -2.7618 |
| 2 | -2.8197 |
| 3 | -2.7584 |